Sr3BeZn | PBE | optimized geometry

Results
Final energy ... -1.620 eV/atom
Energy of formation from the pure elements ... 389.2 meV/atom
Density of states at the Fermi level ... 1.1677 states/eV per atom

Unit cell a=5.917 b=5.917 c=5.917 alpha=90.00 beta=90.00 gamma=90.00
Fractional positions:
1 Zn 0.500 0.500 0.500
2 Sr 0.000 0.000 0.500
3 Be 0.000 0.000 0.000
4 Sr 0.000 0.500 0.000
5 Sr 0.500 0.000 0.000


YErMgPb | PBE | optimized geometry

Results
Final energy ... -4.353 eV/atom
Energy of formation from the pure elements ... -270.9 meV/atom
Density of states at the Fermi level ... 1.0658 states/eV per atom

Unit cell a=5.351 b=5.351 c=5.351 alpha=60.00 beta=60.00 gamma=60.00
Fractional positions:
1 Er 0.250 0.250 0.250
2 Pb 0.500 0.500 0.500
3 Y 0.750 0.750 0.750
4 Mg 0.000 0.000 0.000


ZnCrHg | PBE | optimized geometry

Results
Final energy ... -3.243 eV/atom
Energy of formation from the pure elements ... 490.1 meV/atom
Density of states at the Fermi level ... 0.6120 states/eV per atom

Unit cell a=4.395 b=4.395 c=4.395 alpha=60.00 beta=60.00 gamma=60.00
Last column: magnetic moment on the atom in μB.
Fractional positions:
1 Hg 0.500 0.500 0.500  -0.03
2 Cr 0.000 0.000 0.000  3.71
3 Zn 0.750 0.750 0.750  -0.01